Computed, not measured: an optimized crystal structure of HoMnSi2 at the PBE-GGA level of DFT.

ρ ... 6.882 g/cm3
Formation energy without anion corrections ... -624 meV/atom
Fermi-level density of states ... 2.2 states/eV/f.u.

CIF file:
```
data_HoMnSi2
_symmetry_space_group_name_H-M 'P n m a'
_symmetry_Int_Tables_number 62
_cell_length_a 7.100
_cell_length_b 3.823
_cell_length_c 9.815
_cell_angle_alpha 90.00
_cell_angle_beta 90.00
_cell_angle_gamma 90.00
loop_
_symmetry_equiv_pos_as_xyz
'x,y,z'
'-x,-y,-z'
'-x+1/2,-y,z+1/2'
'x+1/2,y,-z+1/2'
'x+1/2,-y+1/2,-z+1/2'
'-x+1/2,y+1/2,z+1/2'
'-x,y+1/2,-z'
'x,-y+1/2,z'
loop_
_atom_site_label
_atom_site_type_symbol
_atom_site_fract_x
_atom_site_fract_y
_atom_site_fract_z
Ho1 Ho 0.140 0.250 0.131
Mn1 Mn 0.012 0.750 0.393
Si1 Si 0.161 0.250 0.812
Si2 Si 0.211 0.250 0.434
```

=====

Computed, not measured: an optimized crystal structure of AlTeOsI2 at the PBE-GGA level of DFT.

ρ ... 6.811 g/cm3
Energy above the most stable polymorph in this dataset ... 0.672 eV/atom
Formation energy without anion corrections ... 1313 meV/atom
Fermi-level density of states ... 4.4 states/eV/f.u.

CIF file:
```
data_AlTeOsI2
_symmetry_space_group_name_H-M 'P 4/m m m'
_symmetry_Int_Tables_number 123
_symmetry_space_group_name_Hall '-P 4 2'
_cell_length_a 5.228
_cell_length_b 5.228
_cell_length_c 5.339
_cell_angle_alpha 90.00
_cell_angle_beta 90.00
_cell_angle_gamma 90.00
loop_
_atom_site_label
_atom_site_type_symbol
_atom_site_fract_x
_atom_site_fract_y
_atom_site_fract_z
Al1 Al 0.000 0.000 0.000
Te1 Te 0.000 0.000 0.500
Os1 Os 0.500 0.500 0.500
I1 I 0.000 0.500 0.000
```

=====

Computed, not measured: an optimized crystal structure of Co3Ni4 at the PBE-GGA level of DFT.

ρ ... 8.578 g/cm3
Energy above the most stable polymorph in this dataset ... 0.160 eV/atom
Formation energy from the elements ... 154 meV per atom
Fermi-level density of states ... 9.8 states/eV/f.u.

CIF file:
```
data_Co3Ni4
_symmetry_space_group_name_H-M 'P 6/m m m'
_symmetry_Int_Tables_number 191
_symmetry_space_group_name_Hall '-P 6 2'
_cell_length_a 4.5393
_cell_length_b 4.5393
_cell_length_c 4.4647
_cell_angle_alpha 90.00
_cell_angle_beta 90.00
_cell_angle_gamma 120.00
loop_
_atom_site_label
_atom_site_type_symbol
_atom_site_fract_x
_atom_site_fract_y
_atom_site_fract_z
Co1 Co 0.0000 0.5000 0.0000
Ni1 Ni 0.0000 0.0000 0.2555
Ni2 Ni 0.3333 0.6667 0.5000
```

=====

Computed, not measured: an optimized crystal structure of Nd3Sm2N4 at the PBE-GGA level of DFT.

ρ ... 7.591 g/cm3
Formation energy without anion corrections ... -1258 meV/atom
Fermi-level density of states ... 5.1 states/eV/f.u.

CIF file:
```
data_Nd3Sm2N4
_symmetry_space_group_name_H-M 'C 1 2/m 1'
_symmetry_Int_Tables_number 12
_cell_length_a 6.278
_cell_length_b 3.625
_cell_length_c 15.179
_cell_angle_alpha 90.00
_cell_angle_beta 90.07
_cell_angle_gamma 90.00
loop_
_symmetry_equiv_pos_as_xyz
'x,y,z'
'-x,-y,-z'
'-x,y,-z'
'x,-y,z'
'x+1/2,y+1/2,z'
'-x+1/2,-y+1/2,-z'
'-x+1/2,y+1/2,-z'
'x+1/2,-y+1/2,z'
loop_
_atom_site_label
_atom_site_type_symbol
_atom_site_fract_x
_atom_site_fract_y
_atom_site_fract_z
Nd1 Nd 0.000 0.000 0.000
Nd2 Nd 0.166 0.500 0.620
Sm1 Sm 0.167 0.500 0.189
N1 N 0.001 0.000 0.299
N2 N 0.166 0.500 0.898
```

=====

Computed, not measured: an optimized crystal structure of CrSiP2 at the PBE-GGA level of DFT.

ρ ... 4.159 g/cm3
Formation energy without anion corrections ... 113 meV/atom
Fermi-level density of states ... 2.8 states/eV/f.u.

CIF file:
```
data_CrSiP2
_symmetry_space_group_name_H-M 'R -3 m'
_symmetry_Int_Tables_number 166
_symmetry_space_group_name_Hall '-R 3 2"'
_cell_length_a 2.8037
_cell_length_b 2.8037
_cell_length_c 24.9922
_cell_angle_alpha 90.00
_cell_angle_beta 90.00
_cell_angle_gamma 120.00
loop_
_atom_site_label
_atom_site_type_symbol
_atom_site_fract_x
_atom_site_fract_y
_atom_site_fract_z
Cr1 Cr 0.0000 0.0000 0.0000
Si1 Si 0.0000 0.0000 0.5000
P1 P 0.0000 0.0000 0.2659
```

=====

Computed, not measured: an optimized crystal structure of GeS2N2 at the PBE-GGA level of DFT.

ρ ... 3.382 g/cm3
Energy above the most stable polymorph in this dataset ... 1.446 eV/atom
Formation energy without anion corrections ... 1339 meV/atom
Fermi-level density of states ... 4.1 states/eV/f.u.

CIF file:
```
data_GeS2N2
_symmetry_space_group_name_H-M 'P 4/m m m'
_symmetry_Int_Tables_number 123
_symmetry_space_group_name_Hall '-P 4 2'
_cell_length_a 3.494
_cell_length_b 3.494
_cell_length_c 6.627
_cell_angle_alpha 90.00
_cell_angle_beta 90.00
_cell_angle_gamma 90.00
loop_
_atom_site_label
_atom_site_type_symbol
_atom_site_fract_x
_atom_site_fract_y
_atom_site_fract_z
Ge1 Ge 0.000 0.000 0.000
S1 S 0.500 0.500 0.000
S2 S 0.500 0.500 0.500
N1 N 0.000 0.500 0.500
```

=====

Computed, not measured: an optimized crystal structure of Tl4FeIr at the PBE-GGA level of DFT.

ρ ... 11.391 g/cm3
Formation energy from the elements ... 1221 meV per atom
Fermi-level density of states ... 8.5 states/eV/f.u.

CIF file:
```
data_Tl4FeIr
_symmetry_space_group_name_H-M 'F -4 3 m'
_symmetry_Int_Tables_number 216
_symmetry_space_group_name_Hall 'F -4 2 3'
_cell_length_a 8.533
_cell_length_b 8.533
_cell_length_c 8.533
_cell_angle_alpha 90.00
_cell_angle_beta 90.00
_cell_angle_gamma 90.00
loop_
_atom_site_label
_atom_site_type_symbol
_atom_site_fract_x
_atom_site_fract_y
_atom_site_fract_z
Tl1 Tl 0.125 0.125 0.125
Fe1 Fe 0.250 0.250 0.750
Ir1 Ir 0.000 0.000 0.500
```

=====

Computed, not measured: an optimized crystal structure of RbIn2GaBr4 at the PBE-GGA level of DFT.

ρ ... 3.915 g/cm3
Formation energy without anion corrections ... -878 meV/atom
Fermi-level density of states ... 0.0 states/eV/f.u.

CIF file:
```
data_RbIn2GaBr4
_symmetry_space_group_name_H-M 'P 1 2/m 1'
_symmetry_Int_Tables_number 10
_cell_length_a 8.168
_cell_length_b 4.732
_cell_length_c 8.198
_cell_angle_alpha 90.00
_cell_angle_beta 109.47
_cell_angle_gamma 90.00
loop_
_symmetry_equiv_pos_as_xyz
'x,y,z'
'-x,-y,-z'
'-x,y,-z'
'x,-y,z'
loop_
_atom_site_label
_atom_site_type_symbol
_atom_site_fract_x
_atom_site_fract_y
_atom_site_fract_z
Rb1 Rb 0.000 0.000 0.000
In1 In 0.000 0.500 0.500
In2 In 0.500 0.000 0.500
Ga1 Ga 0.500 0.500 0.000
Br1 Br 0.261 0.500 0.250
Br2 Br 0.262 0.000 0.758
```

=====

Computed, not measured: an optimized crystal structure of TiSiAg2 at the PBE-GGA level of DFT.

ρ ... 6.772 g/cm3
Formation energy without anion corrections ... 125 meV/atom
Fermi-level density of states ... 3.7 states/eV/f.u.

CIF file:
```
data_TiSiAg2
_symmetry_space_group_name_H-M 'I -4 2 d'
_symmetry_Int_Tables_number 122
_symmetry_space_group_name_Hall 'I -4 2bw'
_cell_length_a 3.756
_cell_length_b 3.756
_cell_length_c 20.275
_cell_angle_alpha 90.00
_cell_angle_beta 90.00
_cell_angle_gamma 90.00
loop_
_atom_site_label
_atom_site_type_symbol
_atom_site_fract_x
_atom_site_fract_y
_atom_site_fract_z
Ti1 Ti 0.000 0.000 0.000
Si1 Si 0.000 0.000 0.500
Ag1 Ag 0.246 0.250 0.625
```

=====

Computed, not measured: an optimized crystal structure of Pm3RuPt at the PBE-GGA level of DFT.

ρ ... 9.383 g/cm3
Energy above the most stable polymorph in this dataset ... 0.031 eV/atom
Formation energy from the elements ... -557 meV per atom
Fermi-level density of states ... 2.7 states/eV/f.u.

CIF file:
```
data_Pm3RuPt
_symmetry_space_group_name_H-M 'P 1 21/m 1'
_symmetry_Int_Tables_number 11
_cell_length_a 7.863
_cell_length_b 4.032
_cell_length_c 8.497
_cell_angle_alpha 90.00
_cell_angle_beta 106.12
_cell_angle_gamma 90.00
loop_
_symmetry_equiv_pos_as_xyz
'x,y,z'
'-x,-y,-z'
'-x,y+1/2,-z'
'x,-y+1/2,z'
loop_
_atom_site_label
_atom_site_type_symbol
_atom_site_fract_x
_atom_site_fract_y
_atom_site_fract_z
Pm1 Pm 0.082 0.250 0.238
Pm2 Pm 0.315 0.250 0.931
Pm3 Pm 0.354 0.750 0.596
Ru1 Ru 0.071 0.250 0.599
Pt1 Pt 0.363 0.750 0.207
```

=====

Computed, not measured: an optimized crystal structure of Na3FeRh3S8 at the PBE-GGA level of DFT.

ρ ... 4.034 g/cm3
Formation energy without anion corrections ... -647 meV/atom
Fermi-level density of states ... 4.3 states/eV/f.u.

CIF file:
```
data_Na3FeRh3S8
_symmetry_space_group_name_H-M 'R -3 m'
_symmetry_Int_Tables_number 166
_symmetry_space_group_name_Hall '-R 3 2"'
_cell_length_a 7.1371
_cell_length_b 7.1371
_cell_length_c 19.3147
_cell_angle_alpha 90.00
_cell_angle_beta 90.00
_cell_angle_gamma 120.00
loop_
_atom_site_label
_atom_site_type_symbol
_atom_site_fract_x
_atom_site_fract_y
_atom_site_fract_z
Na1 Na 0.0000 0.5000 0.0000
Fe1 Fe 0.0000 0.0000 0.5000
Rh1 Rh 0.0000 0.5000 0.5000
S1 S 0.0000 0.0000 0.2296
S2 S 0.0095 0.5047 0.2280
```

=====

Computed, not measured: an optimized crystal structure of Nd12Cd6Ru at the PBE-GGA level of DFT.

ρ ... 6.874 g/cm3
Formation energy from the elements ... -102 meV per atom
Fermi-level density of states ... 25.6 states/eV/f.u.

CIF file:
```
data_Nd12Cd6Ru
_symmetry_space_group_name_H-M 'R -3'
_symmetry_Int_Tables_number 148
_symmetry_space_group_name_Hall '-R 3'
_cell_length_a 12.4648
_cell_length_b 12.4648
_cell_length_c 13.4992
_cell_angle_alpha 90.00
_cell_angle_beta 90.00
_cell_angle_gamma 120.00
loop_
_atom_site_label
_atom_site_type_symbol
_atom_site_fract_x
_atom_site_fract_y
_atom_site_fract_z
Nd1 Nd 0.0394 0.8508 0.3698
Nd2 Nd 0.0404 0.1901 0.8898
Cd1 Cd 0.0012 0.4027 0.7608
Ru1 Ru 0.0000 0.0000 0.5000
```